(1)
## TlIn2Te2 (PBE)

Data for a relaxed structure of TlIn2Te2.

Its total magnetization is 0.000 μB per atom. The calculation puts the raw total energy at -2.945 eV per atom. As for the raw formation energy: -0.12 eV per atom. As for the energy relative to the lowest polymorph listed for this composition: 136 meV/atom.

The structure belongs to space group I4/mmm (No. 139); the cell edges are 4.629, 4.629 and 15.728 Å and the angles 90.00°, 90.00° and 90.00°. The asymmetric unit holds Tl at (0.000, 0.000, 0.000), In at (0.000, 0.500, 0.250) and Te at (0.000, 0.000, 0.404).

(2)
## Tl2InTe (PBE)

Data for a relaxed structure of Tl2InTe.

Its total magnetization is 0.000 μB per atom. The calculation puts the raw total energy at -2.802 eV per atom. As for the raw formation energy: -0.15 eV per atom. As for the energy relative to the lowest polymorph listed for this composition: 12 meV/atom.

The structure belongs to space group Cm (No. 8); the cell edges are 12.278, 4.394 and 5.275 Å and the angles 90.00°, 115.35° and 90.00°. The asymmetric unit holds Tl at (0.000, 0.000, 0.000), Tl at (0.229, 0.000, 0.730), In at (0.259, 0.500, 0.260) and Te at (0.464, 0.000, 0.464).

(3)
## TlInTe3 (PBE)

Data for a relaxed structure of TlInTe3.

Its total magnetization is 0.000 μB per atom. The calculation puts the raw total energy at -3.105 eV per atom. As for the raw formation energy: -0.20 eV per atom. As for the energy relative to the lowest polymorph listed for this composition: 0 meV/atom.

The structure belongs to space group P2_1/c (No. 14); the cell edges are 9.512, 8.859 and 11.989 Å and the angles 90.00°, 124.82° and 90.00°. The asymmetric unit holds Tl at (0.185, 0.204, 0.189), In at (0.361, 0.653, 0.368), Te at (0.187, 0.596, 0.884), Te at (0.275, 0.110, 0.958) and Te at (0.413, 0.550, 0.165).

(4)
## Tl2In5Te4 (PBE)

Data for a relaxed structure of Tl2In5Te4.

Its total magnetization is 0.000 μB per atom. The calculation puts the raw total energy at -3.009 eV per atom. As for the raw formation energy: -0.19 eV per atom.

The structure belongs to space group P2/m (No. 10); the cell edges are 8.091, 4.254 and 10.965 Å and the angles 90.00°, 94.72° and 90.00°. The asymmetric unit holds Tl at (0.108, 0.000, 0.351), In at (0.181, 0.000, 0.002), In at (0.371, 0.000, 0.786), In at (0.500, 0.000, 0.500), Te at (0.221, 0.500, 0.610) and Te at (0.325, 0.500, 0.163).

(5)
## TlIn2Te2 (PBE)

Data for a relaxed structure of TlIn2Te2.

Its total magnetization is 0.000 μB per atom. The calculation puts the raw total energy at -3.081 eV per atom. As for the raw formation energy: -0.26 eV per atom. As for the energy relative to the lowest polymorph listed for this composition: 0 meV/atom.

The structure belongs to space group P-1 (No. 2); the cell edges are 6.802, 6.802 and 7.682 Å and the angles 74.03°, 74.17° and 75.00°. The asymmetric unit holds Tl at (0.130, 0.370, 0.250), In at (0.345, 0.894, 0.934), In at (0.395, 0.845, 0.433), Te at (0.015, 0.861, 0.285) and Te at (0.360, 0.515, 0.785).

(6)
## Tl3In2Te4 (PBE)

Data for a relaxed structure of Tl3In2Te4.

Its total magnetization is 0.000 μB per atom. The calculation puts the raw total energy at -3.084 eV per atom. As for the raw formation energy: -0.29 eV per atom.

The structure belongs to space group C2/c (No. 15); the cell edges are 15.479, 12.095 and 7.120 Å and the angles 90.00°, 95.50° and 90.00°. The asymmetric unit holds Tl at (0.000, 0.107, 0.250), Tl at (0.111, 0.380, 0.952), In at (0.204, 0.122, 0.582), Te at (0.114, 0.328, 0.460) and Te at (0.171, 0.107, 0.977).

(7)
## TlIn2Te (PBE)

Data for a relaxed structure of TlIn2Te.

Its total magnetization is 0.000 μB per atom. The calculation puts the raw total energy at -2.780 eV per atom. As for the raw formation energy: -0.03 eV per atom. As for the energy relative to the lowest polymorph listed for this composition: 91 meV/atom.

The structure belongs to space group Cmmm (No. 65); the cell edges are 7.192, 10.260 and 3.266 Å and the angles 90.00°, 90.00° and 90.00°. The asymmetric unit holds Tl at (0.000, 0.000, 0.000), In at (0.250, 0.250, 0.500) and Te at (0.000, 0.500, 0.000).

(8)
## Tl2InTe (PBE)

Data for a relaxed structure of Tl2InTe.

Its total magnetization is 0.000 μB per atom. The calculation puts the raw total energy at -2.705 eV per atom. As for the raw formation energy: -0.05 eV per atom. As for the energy relative to the lowest polymorph listed for this composition: 108 meV/atom.

The structure belongs to space group R3m (No. 160, hexagonal axes); the cell edges are 4.4921, 4.4921 and 23.7610 Å and the angles 90.00°, 90.00° and 120.00°. The asymmetric unit holds Tl at (0.0000, 0.0000, 0.0000), Tl at (0.0000, 0.0000, 0.1742), In at (0.0000, 0.0000, 0.7533) and Te at (0.0000, 0.0000, 0.5879).

Repeat the seventh record exactly.
## TlIn2Te (PBE)

Data for a relaxed structure of TlIn2Te.

Its total magnetization is 0.000 μB per atom. The calculation puts the raw total energy at -2.780 eV per atom. As for the raw formation energy: -0.03 eV per atom. As for the energy relative to the lowest polymorph listed for this composition: 91 meV/atom.

The structure belongs to space group Cmmm (No. 65); the cell edges are 7.192, 10.260 and 3.266 Å and the angles 90.00°, 90.00° and 90.00°. The asymmetric unit holds Tl at (0.000, 0.000, 0.000), In at (0.250, 0.250, 0.500) and Te at (0.000, 0.500, 0.000).

> What is the total magnetization in the third record?

0.000 μB per atom